[1]
{"formula": "TaBAs2O", "functional": "PBEsol", "state": "relaxed", "cell": [[2.676, 0.000, 0.000], [0.000, 5.125, 0.000], [0.000, 0.000, 5.125]], "species": ["As", "Ta", "As", "O", "B"], "fractional_positions": [[0.000, 0.500, 0.000], [0.500, 0.500, 0.500], [0.000, 0.000, 0.500], [0.000, 0.000, 0.000], [0.500, 0.000, 0.000]], "raw_formation_energy_ev_per_atom": 0.230}



[2]
{"formula": "BAs2Os", "functional": "PBEsol", "state": "relaxed", "cell": [[-2.704, 3.874, 2.385], [3.050, -3.730, 3.645], [4.507, 1.903, 2.018]], "species": ["As", "As", "B", "As", "B", "Os", "Os", "As"], "fractional_positions": [[0.375, 0.250, 0.174], [0.875, 0.250, 0.576], [0.500, 0.000, 0.500], [0.576, 0.750, 0.375], [0.250, 0.500, 0.250], [0.000, 0.000, 0.000], [0.750, 0.500, 0.750], [0.174, 0.750, 0.875]], "formation_energy_ev_per_atom": 0.4719}



[3]
{"formula": "B3AsOs", "functional": "PBEsol", "state": "relaxed", "cell": [[-2.331, -2.908, 1.288], [3.149, -2.335, 0.427], [0.448, 1.281, 3.703]], "species": ["Os", "B", "As", "B", "B"], "fractional_positions": [[0.500, 0.500, 0.500], [0.000, 0.000, 0.500], [0.000, 0.000, 0.000], [0.000, 0.500, 0.000], [0.500, 0.000, 0.000]], "formation_energy_ev_per_atom": 2.3476}



[4]
{"formula": "B2AsP", "functional": "PBEsol", "state": "relaxed", "cell": [[3.285, 0.000, 0.000], [0.000, 3.285, 0.000], [0.000, 0.000, 4.652]], "species": ["B", "P", "B", "As"], "fractional_positions": [[0.500, 0.000, 0.763], [0.000, 0.000, 0.000], [0.000, 0.500, 0.237], [0.500, 0.500, 0.500]], "formation_energy_ev_per_atom": -0.2211, "relative_energy_mev_per_atom": 12.2}



[5]
{"formula": "B2AsP", "functional": "PBEsol", "state": "relaxed", "cell": [[-4.415, 0.900, 1.145], [-1.448, -3.101, -3.146], [3.086, -2.239, 4.221]], "species": ["B", "P", "As", "B", "B", "P", "B", "As"], "fractional_positions": [[0.856, 0.375, 0.250], [0.750, 0.250, 0.500], [0.000, 0.000, 0.000], [0.125, 0.144, 0.750], [0.625, 0.606, 0.750], [0.500, 0.500, 0.000], [0.394, 0.875, 0.250], [0.250, 0.750, 0.500]], "formation_energy_ev_per_atom": -0.2333, "relative_energy_mev_per_atom": 0.0}



[6]
{"formula": "BAs2Pb", "functional": "PBEsol", "state": "relaxed", "cell": [[-4.364, -4.109, -0.916], [5.573, -1.260, -2.031], [0.325, -5.230, 3.051]], "species": ["As", "As", "As", "B", "As", "Pb", "Pb", "B"], "fractional_positions": [[0.604, 0.125, 0.771], [0.896, 0.771, 0.625], [0.396, 0.625, 0.479], [0.000, 0.500, 0.500], [0.104, 0.479, 0.125], [0.000, 0.000, 0.000], [0.500, 0.250, 0.250], [0.500, 0.750, 0.750]], "formation_energy_ev_per_atom": 0.2541}



[7]
{"formula": "BAs2PbSe", "functional": "PBEsol", "state": "relaxed", "cell": [[5.311, 0.000, 0.000], [0.000, 5.311, 0.000], [0.000, 0.000, 5.381]], "species": ["Se", "As", "As", "Pb", "B"], "fractional_positions": [[0.000, 0.000, 0.500], [0.500, 0.000, 0.000], [0.000, 0.500, 0.000], [0.000, 0.000, 0.000], [0.500, 0.500, 0.500]], "raw_formation_energy_ev_per_atom": 1.911}



[8]
{"formula": "BAsPd3", "functional": "PBEsol", "state": "relaxed", "cell": [[-0.225, 4.437, 1.032], [-3.688, 0.429, -2.649], [-2.674, -0.966, 3.567]], "species": ["Pd", "Pd", "B", "Pd", "As"], "fractional_positions": [[0.000, 0.000, 0.500], [0.000, 0.500, 0.000], [0.500, 0.500, 0.500], [0.500, 0.000, 0.000], [0.000, 0.000, 0.000]], "formation_energy_ev_per_atom": 1.1354}



[9]
{"formula": "B3AsPt", "functional": "PBEsol", "state": "relaxed", "cell": [[4.127, 0.000, 0.000], [0.000, 4.127, 0.000], [0.000, 0.000, 4.127]], "species": ["B", "As", "B", "B", "Pt"], "fractional_positions": [[0.000, 0.500, 0.000], [0.500, 0.500, 0.500], [0.500, 0.000, 0.000], [0.000, 0.000, 0.500], [0.000, 0.000, 0.000]], "formation_energy_ev_per_atom": 1.2796}



[10]
{"formula": "BAsPt3", "functional": "PBEsol", "state": "relaxed", "cell": [[4.197, 0.000, 0.000], [0.000, 4.197, 0.000], [0.000, 0.000, 4.197]], "species": ["Pt", "As", "Pt", "Pt", "B"], "fractional_positions": [[0.500, 0.000, 0.000], [0.500, 0.500, 0.500], [0.000, 0.000, 0.500], [0.000, 0.500, 0.000], [0.000, 0.000, 0.000]], "formation_energy_ev_per_atom": 0.0675}



[11]
{"formula": "ZnB2AsPt", "functional": "PBEsol", "state": "relaxed", "cell": [[3.953, 0.000, 0.000], [0.000, 3.953, 0.000], [0.000, 0.000, 4.798]], "species": ["B", "B", "As", "Pt", "Zn"], "fractional_positions": [[0.000, 0.500, 0.000], [0.500, 0.000, 0.000], [0.000, 0.000, 0.000], [0.500, 0.500, 0.500], [0.000, 0.000, 0.500]], "formation_energy_ev_per_atom": 1.5251}



[12]
{"formula": "RbB2As2", "functional": "PBEsol", "state": "relaxed", "cell": [[-1.938, 2.908, 2.586], [-3.891, -1.373, -1.372], [2.818, -3.549, 2.448]], "species": ["As", "Rb", "B", "As", "B"], "fractional_positions": [[0.750, 0.250, 0.500], [0.000, 0.000, 0.000], [0.388, 0.388, 0.776], [0.250, 0.750, 0.500], [0.612, 0.612, 0.224]], "formation_energy_ev_per_atom": 0.6250}



[13]
{"formula": "ReB3As", "functional": "PBEsol", "state": "relaxed", "cell": [[-3.040, -2.419, -1.395], [2.593, -1.681, -2.737], [1.036, -2.892, 2.758]], "species": ["B", "B", "B", "Re", "As"], "fractional_positions": [[0.000, 0.500, 0.000], [0.500, 0.000, 0.000], [0.000, 0.000, 0.500], [0.000, 0.000, 0.000], [0.500, 0.500, 0.500]], "formation_energy_ev_per_atom": 1.4330}



[14]
{"formula": "ReBAs2", "functional": "PBEsol", "state": "relaxed", "cell": [[5.390, 0.000, 0.000], [-2.695, 5.345, 0.055], [0.000, 2.669, 4.683]], "species": ["B", "As", "B", "Re", "As", "As", "Re", "As"], "fractional_positions": [[0.250, 0.500, 0.250], [0.180, 0.750, 0.875], [0.500, 0.000, 0.500], [0.750, 0.500, 0.750], [0.570, 0.750, 0.375], [0.375, 0.250, 0.180], [0.000, 0.000, 0.000], [0.875, 0.250, 0.570]], "formation_energy_ev_per_atom": 0.6435}



[15]
{"formula": "ReBAsRu2", "functional": "PBEsol", "state": "relaxed", "cell": [[-3.016, 2.114, -2.804], [-2.549, -3.888, -0.189], [-2.441, 1.421, 3.697]], "species": ["Re", "Ru", "Ru", "B", "As"], "fractional_positions": [[0.000, 0.000, 0.000], [0.000, 0.000, 0.500], [0.000, 0.500, 0.000], [0.500, 0.500, 0.500], [0.500, 0.000, 0.000]], "formation_energy_ev_per_atom": 2.3378}



[16]
{"formula": "BAsRu2", "functional": "PBEsol", "state": "relaxed", "cell": [[-1.243, -1.318, -3.620], [-1.173, -3.847, -0.460], [-3.907, -0.865, -0.607]], "species": ["Ru", "As", "B", "Ru"], "fractional_positions": [[0.250, 0.250, 0.250], [0.500, 0.500, 0.500], [0.000, 0.000, 0.000], [0.750, 0.750, 0.750]], "formation_energy_ev_per_atom": 0.0898}



[17]
{"formula": "BAs2RuSe", "functional": "PBEsol", "state": "relaxed", "cell": [[-1.051, -2.886, -3.395], [-3.114, -2.019, 2.680], [-3.590, 3.295, -1.689]], "species": ["As", "Se", "B", "As", "Ru"], "fractional_positions": [[0.500, 0.000, 0.000], [0.000, 0.000, 0.500], [0.500, 0.500, 0.500], [0.000, 0.500, 0.000], [0.000, 0.000, 0.000]], "raw_formation_energy_ev_per_atom": 1.336}



[18]
{"formula": "SiBAsRu2", "functional": "PBEsol", "state": "relaxed", "cell": [[4.481, 0.000, 0.000], [0.000, 4.481, 0.000], [0.000, 0.000, 4.493]], "species": ["Ru", "Ru", "B", "As", "Si"], "fractional_positions": [[0.500, 0.000, 0.000], [0.000, 0.500, 0.000], [0.500, 0.500, 0.500], [0.000, 0.000, 0.000], [0.000, 0.000, 0.500]], "raw_formation_energy_ev_per_atom": 1.997}



[19]
{"formula": "Y2BAsRu", "functional": "PBEsol", "state": "relaxed", "cell": [[-1.438, -4.194, 0.747], [2.219, -1.547, -4.413], [4.373, -1.043, 2.565]], "species": ["B", "Ru", "As", "Y", "Y"], "fractional_positions": [[0.500, 0.500, 0.500], [0.000, 0.000, 0.000], [0.500, 0.000, 0.000], [0.000, 0.000, 0.500], [0.000, 0.500, 0.000]], "formation_energy_ev_per_atom": 0.4982}



[20]
{"formula": "B2SbAs", "functional": "PBEsol", "state": "relaxed", "cell": [[4.290, 0.000, 0.000], [2.145, 3.715, 0.000], [2.145, 1.238, 3.502]], "species": ["B", "Sb", "As", "B"], "fractional_positions": [[0.750, 0.750, 0.750], [0.500, 0.500, 0.500], [0.000, 0.000, 0.000], [0.250, 0.250, 0.250]], "raw_formation_energy_ev_per_atom": 1.455}



[21]
{"formula": "BSb2TeAs", "functional": "PBEsol", "state": "relaxed", "cell": [[5.325, 0.000, 0.000], [0.000, 5.325, 0.000], [0.000, 0.000, 5.278]], "species": ["Sb", "B", "Sb", "Te", "As"], "fractional_positions": [[0.500, 0.000, 0.000], [0.500, 0.500, 0.500], [0.000, 0.500, 0.000], [0.000, 0.000, 0.500], [0.000, 0.000, 0.000]], "raw_formation_energy_ev_per_atom": 1.536}



[22]
{"formula": "Sc3BAs", "functional": "PBEsol", "state": "relaxed", "cell": [[-3.417, -2.507, 1.527], [-1.384, -0.690, -4.231], [2.589, -3.678, -0.247]], "species": ["Sc", "As", "Sc", "B", "Sc"], "fractional_positions": [[0.500, 0.000, 0.000], [0.500, 0.500, 0.500], [0.000, 0.000, 0.500], [0.000, 0.000, 0.000], [0.000, 0.500, 0.000]], "formation_energy_ev_per_atom": -0.6161}



[23]
{"formula": "ScBAs3", "functional": "PBEsol", "state": "relaxed", "cell": [[4.984, 0.000, 0.000], [0.000, 4.984, 0.000], [0.000, 0.000, 4.984]], "species": ["Sc", "As", "As", "As", "B"], "fractional_positions": [[0.000, 0.000, 0.000], [0.500, 0.000, 0.000], [0.000, 0.000, 0.500], [0.000, 0.500, 0.000], [0.500, 0.500, 0.500]], "formation_energy_ev_per_atom": 1.1987}



[24]
{"formula": "BAsSe2", "functional": "PBEsol", "state": "relaxed", "cell": [[-2.909, -1.339, -3.238], [1.223, -3.233, -2.965], [-1.907, -4.130, 0.219]], "species": ["Se", "As", "Se", "B"], "fractional_positions": [[0.250, 0.250, 0.250], [0.500, 0.500, 0.500], [0.750, 0.750, 0.750], [0.000, 0.000, 0.000]], "relative_energy_mev_per_atom": 605.5, "raw_formation_energy_ev_per_atom": 1.046}



[25]
{"formula": "BAsSe2", "functional": "PBEsol", "state": "relaxed", "cell": [[-3.023, -0.766, 0.797], [-0.586, -2.654, 1.725], [-0.510, 3.016, 7.468]], "species": ["Se", "As", "B", "Se"], "fractional_positions": [[0.888, 0.888, 0.337], [0.000, 0.000, 0.000], [0.500, 0.500, 0.500], [0.112, 0.112, 0.663]], "relative_energy_mev_per_atom": 0.0, "raw_formation_energy_ev_per_atom": 0.441}



[26]
{"formula": "SiBAs2Se", "functional": "PBEsol", "state": "relaxed", "cell": [[4.290, 0.000, 0.000], [0.000, 4.290, 0.000], [0.000, 0.000, 4.525]], "species": ["B", "As", "As", "Se", "Si"], "fractional_positions": [[0.000, 0.000, 0.000], [0.500, 0.000, 0.000], [0.000, 0.500, 0.000], [0.000, 0.000, 0.500], [0.500, 0.500, 0.500]], "raw_formation_energy_ev_per_atom": 0.781}



[27]
{"formula": "BTeAs2Se", "functional": "PBEsol", "state": "relaxed", "cell": [[-3.891, -2.375, 0.427], [2.295, -3.497, 1.461], [-0.432, 1.456, 4.162]], "species": ["As", "As", "Te", "B", "Se"], "fractional_positions": [[0.000, 0.500, 0.000], [0.000, 0.000, 0.500], [0.500, 0.500, 0.500], [0.000, 0.000, 0.000], [0.500, 0.000, 0.000]], "raw_formation_energy_ev_per_atom": 0.625}



[28]
{"formula": "ZnBAs2Se", "functional": "PBEsol", "state": "relaxed", "cell": [[4.681, 0.000, 0.000], [0.000, 4.256, 0.000], [0.000, 0.000, 4.256]], "species": ["B", "Zn", "As", "As", "Se"], "fractional_positions": [[0.000, 0.000, 0.000], [0.500, 0.500, 0.500], [0.000, 0.500, 0.000], [0.000, 0.000, 0.500], [0.500, 0.000, 0.000]], "relative_energy_mev_per_atom": 0.0, "raw_formation_energy_ev_per_atom": 0.731}



[29]
{"formula": "ZnBAs2Se", "functional": "PBEsol", "state": "relaxed", "cell": [[4.681, 0.000, 0.000], [0.000, 4.681, 0.000], [0.000, 0.000, 4.935]], "species": ["As", "Zn", "Se", "B", "As"], "fractional_positions": [[0.000, 0.500, 0.000], [0.000, 0.000, 0.000], [0.000, 0.000, 0.500], [0.500, 0.500, 0.500], [0.500, 0.000, 0.000]], "relative_energy_mev_per_atom": 748.0, "raw_formation_energy_ev_per_atom": 1.479}